{
  "formula": "CaUPa2S8",
  "functional": "PBE",
  "state": "relaxed",
  "space_group": "P2/m",
  "e_form_raw_ev_per_atom": -1.522,
  "lattice": [[6.1909, 0.0000, 0.0000], [0.0000, 8.2883, 0.0000], [-0.1415, 0.0000, 6.3515]],
  "species": ["Ca", "U", "Pa", "Pa", "S", "S", "S", "S", "S", "S", "S", "S"],
  "fractional_positions": [[0.0000, 0.0000, 0.0000], [0.0000, 0.5000, 0.0000], [0.5000, 0.2494, 0.5000], [0.5000, 0.7506, 0.5000], [0.2310, 0.2618, 0.1723], [0.2310, 0.7382, 0.1723], [0.2826, 0.5000, 0.6643], [0.2895, 0.0000, 0.6539], [0.7105, 0.0000, 0.3461], [0.7174, 0.5000, 0.3357], [0.7690, 0.2618, 0.8277], [0.7690, 0.7382, 0.8277]]
}